a.
DFT (PBE) results for crystalline Ac4ZnRu at its relaxed geometry.

Results
* DOS at the Fermi energy: 1.106 states/eV/atom

Geometry as CIF:
```
data_Ac4ZnRu
_chemical_formula_sum 'Ac16 Zn4 Ru4'
_symmetry_space_group_name_H-M 'C 1 2/c 1'
_symmetry_Int_Tables_number 15
_cell_length_a 9.670
_cell_length_b 15.763
_cell_length_c 7.307
_cell_angle_alpha 90.00
_cell_angle_beta 126.50
_cell_angle_gamma 90.00
loop_
_symmetry_equiv_pos_as_xyz
'x,y,z'
'-x,-y,-z'
'-x,y,-z+1/2'
'x,-y,z+1/2'
'x+1/2,y+1/2,z'
'-x+1/2,-y+1/2,-z'
'-x+1/2,y+1/2,-z+1/2'
'x+1/2,-y+1/2,z+1/2'
loop_
_atom_site_label
_atom_site_fract_x
_atom_site_fract_y
_atom_site_fract_z
Ac1 0.163 0.209 0.164
Ac2 0.239 0.042 0.735
Zn1 0.000 0.380 0.750
Ru1 0.000 0.083 0.250
```



b.
DFT (PBE) results for crystalline Ac4ZnRu at its relaxed geometry.

Results
* DOS at the Fermi energy: 1.213 states/eV/atom

Geometry as CIF:
```
data_Ac4ZnRu
_chemical_formula_sum 'Ac16 Zn4 Ru4'
_symmetry_space_group_name_H-M 'C 1 2/c 1'
_symmetry_Int_Tables_number 15
_cell_length_a 9.589
_cell_length_b 14.480
_cell_length_c 6.700
_cell_angle_alpha 90.00
_cell_angle_beta 118.55
_cell_angle_gamma 90.00
loop_
_symmetry_equiv_pos_as_xyz
'x,y,z'
'-x,-y,-z'
'-x,y,-z+1/2'
'x,-y,z+1/2'
'x+1/2,y+1/2,z'
'-x+1/2,-y+1/2,-z'
'-x+1/2,y+1/2,-z+1/2'
'x+1/2,-y+1/2,z+1/2'
loop_
_atom_site_label
_atom_site_fract_x
_atom_site_fract_y
_atom_site_fract_z
Ac1 0.120 0.178 0.083
Ac2 0.219 0.432 0.312
Zn1 0.000 0.375 0.750
Ru1 0.000 0.003 0.250
```



Ranking the structures above by energy, b is first and the second is 19 meV/atom behind.